This record from Alexandria describes an optimized crystal structure of Y2TlCr. The functional is PBE.

Output
Crystal system ... orthorhombic
Total magnetization ... 7.25 Bohr magnetons per cell
DFT formation energy ... 0.09 eV per atom
Fermi-level density of states ... 3.294 states/eV/f.u.
Polymorph energy (0 for the lowest one) ... 90 meV/atom

Cell: 3.7054 5.0779 10.9666 Å, 90.00 90.00 90.00°
Space group Imm2 (No. 44)
Symmetry-distinct sites (fractional):
Y1 0.0000 0.0000 0.0000 x2
Y2 0.0000 0.5000 0.2224 x2
Tl1 0.0000 0.0000 0.4554 x2
Cr1 0.0000 0.5000 0.7500 x2

---

This record from Alexandria describes an optimized crystal structure of FeAgOs2. The functional is PBE.

Output
Crystal system ... trigonal
Total magnetization ... 4.77 Bohr magnetons per cell
DFT formation energy ... 0.35 eV per atom
Fermi-level density of states ... 3.154 states/eV/f.u.
Polymorph energy (0 for the lowest one) ... 0 meV/atom

Cell: 2.7034 2.7034 27.3079 Å, 90.00 90.00 120.00°
Space group R-3m (No. 166, hexagonal axes)
Symmetry-distinct sites (fractional):
Fe1 0.0000 0.0000 0.0000 x3
Ag1 0.0000 0.0000 0.5000 x3
Os1 0.0000 0.0000 0.2585 x6

---

This record from Alexandria describes an optimized crystal structure of Nd7Ge2Ir2. The functional is PBE.

Output
Crystal system ... orthorhombic
Total magnetization ... 0.00 Bohr magnetons per cell
DFT formation energy ... -0.43 eV per atom
Fermi-level density of states ... 6.605 states/eV/f.u.

Cell: 8.7894 10.7809 7.1576 Å, 90.00 90.00 90.00°
Space group Cmmm (No. 65)
Symmetry-distinct sites (fractional):
Nd1 0.0000 0.0000 0.0000 x2
Nd2 0.0000 0.5000 0.2394 x4
Nd3 0.2500 0.2500 0.2562 x8
Ge1 0.2216 0.0000 0.5000 x4
Ir1 0.0000 0.2757 0.0000 x4

---

This record from Alexandria describes an optimized crystal structure of BeZn2Ru. The functional is PBE.

Output
Crystal system ... tetragonal
Total magnetization ... 0.00 Bohr magnetons per cell
DFT formation energy ... -0.07 eV per atom
Fermi-level density of states ... 2.377 states/eV/f.u.

Cell: 3.0121 3.0121 5.6945 Å, 90.00 90.00 90.00°
Space group P4mm (No. 99)
Symmetry-distinct sites (fractional):
Be1 0.0000 0.0000 0.0000 x1
Zn1 0.0000 0.0000 0.4401 x1
Zn2 0.5000 0.5000 0.7219 x1
Ru1 0.5000 0.5000 0.1711 x1

---

This record from Alexandria describes an optimized crystal structure of Sc2AlGa8. The functional is PBE.

Output
Crystal system ... tetragonal
Total magnetization ... 0.00 Bohr magnetons per cell
DFT formation energy ... -0.30 eV per atom
Fermi-level density of states ... 3.990 states/eV/f.u.

Cell: 4.3136 4.3136 10.8182 Å, 90.00 90.00 90.00°
Space group P4/mmm (No. 123)
Symmetry-distinct sites (fractional):
Sc1 0.0000 0.0000 0.1827 x2
Al1 0.0000 0.0000 0.5000 x1
Ga1 0.0000 0.5000 0.0000 x2
Ga2 0.0000 0.5000 0.3631 x4
Ga3 0.5000 0.5000 0.1823 x2

---

This record from Alexandria describes an optimized crystal structure of PrHgBi3. The functional is PBE.

Output
Crystal system ... monoclinic
Total magnetization ... 0.00 Bohr magnetons per cell
DFT formation energy ... -0.35 eV per atom
Fermi-level density of states ... 1.713 states/eV/f.u.

Cell: 8.3576 4.4402 8.4280 Å, 90.00 90.62 90.00°
Space group P2_1/m (No. 11)
Symmetry-distinct sites (fractional):
Pr1 0.2424 0.2500 0.2576 x2
Hg1 0.3671 0.7500 0.9509 x2
Bi1 0.0542 0.2500 0.8801 x2
Bi2 0.1226 0.7500 0.5552 x2
Bi3 0.4449 0.2500 0.6245 x2

---

This record from Alexandria describes an optimized crystal structure of Tb12Tm6In. The functional is PBE.

Output
Crystal system ... trigonal
Total magnetization ... 0.00 Bohr magnetons per cell
DFT formation energy ... 0.07 eV per atom
Fermi-level density of states ... 28.823 states/eV/f.u.
Polymorph energy (0 for the lowest one) ... 0 meV/atom

Cell: 11.7974 11.7974 14.9114 Å, 90.00 90.00 120.00°
Space group R-3 (No. 148, hexagonal axes)
Symmetry-distinct sites (fractional):
Tb1 0.0051 0.8272 0.3144 x18
Tb2 0.0459 0.1974 0.9151 x18
Tm1 0.0217 0.5907 0.1889 x18
In1 0.0000 0.0000 0.5000 x3

---

This record from Alexandria describes an optimized crystal structure of Nd8AgHg2. The functional is PBE.

Output
Crystal system ... monoclinic
Total magnetization ... 0.00 Bohr magnetons per cell
DFT formation energy ... -0.20 eV per atom
Fermi-level density of states ... 13.378 states/eV/f.u.
Polymorph energy (0 for the lowest one) ... 0 meV/atom

Cell: 18.3561 5.4804 6.8173 Å, 90.00 92.33 90.00°
Space group C2/m (No. 12)
Symmetry-distinct sites (fractional):
Nd1 0.0322 0.0000 0.2603 x4
Nd2 0.0921 0.5000 0.9111 x4
Nd3 0.1734 0.5000 0.4084 x4
Nd4 0.2101 0.0000 0.0854 x4
Ag1 0.0000 0.5000 0.5000 x2
Hg1 0.1509 0.0000 0.6424 x4

---

This record from Alexandria describes an optimized crystal structure of Tb6NdHg. The functional is PBE.

Output
Crystal system ... trigonal
Total magnetization ... 0.00 Bohr magnetons per cell
DFT formation energy ... -0.01 eV per atom
Fermi-level density of states ... 9.211 states/eV/f.u.

Cell: 9.3502 9.3502 9.9919 Å, 90.00 90.00 120.00°
Space group R-3 (No. 148, hexagonal axes)
Symmetry-distinct sites (fractional):
Tb1 0.0268 0.2537 0.2126 x18
Nd1 0.0000 0.0000 0.5000 x3
Hg1 0.0000 0.0000 0.0000 x3

---

| no. | raw total energy (eV for the cell shown) |
| --- | --- |
| 1 | -49.12 |
| 2 | -97.13 |
| 3 | -130.17 |
| 4 | -15.81 |
| 5 | -43.92 |
| 6 | -36.97 |
| 7 | -251.22 |
| 8 | -87.64 |
| 9 | -98.78 |